KAg3I | the Alexandria database | PBE-GGA | optimized geometry; uncorrected formation energy = 0.50 eV/atom; offset from the most stable computed form = 0 meV per atom
1.0
5.7218 0.0000 0.0000
0.0000 5.7218 0.0000
0.0000 0.0000 5.7218
K Ag I
1 3 1
direct
0.0000 0.0000 0.0000
0.0000 0.5000 0.5000
0.5000 0.0000 0.5000
0.5000 0.5000 0.0000
0.5000 0.5000 0.5000